Compound: Cs2NbBBr6
Source: the Alexandria database
Functional: PBE
Structure: optimized geometry

Space group = Fm-3m (225)
Density of states at the Fermi level = 9.365 states/eV per cell
Formation energy (no corrections) = -708 meV/atom

a b c (Å): 7.719 7.719 7.717
angles (deg): 59.99 59.99 90.00
Fractional positions:
Br1 0.755 0.755 0.490
Br2 0.755 0.245 0.000
Br3 0.245 0.755 0.000
Br4 0.755 0.755 0.000
Br5 0.245 0.245 0.510
Br6 0.245 0.245 0.000
Nb1 0.000 0.000 0.000
Cs1 0.750 0.250 0.500
Cs2 0.250 0.750 0.500
B1 0.500 0.500 0.000

---

Compound: Cs2BOsBr6
Source: the Alexandria database
Functional: PBE
Structure: optimized geometry

Space group = I4/mmm (139)
Density of states at the Fermi level = 8.547 states/eV per cell
Formation energy (no corrections) = -373 meV/atom

a b c (Å): 7.518 7.518 7.555
angles (deg): 60.16 60.16 90.00
Fractional positions:
B1 0.500 0.500 0.000
Br1 0.759 0.241 0.000
Br2 0.241 0.241 0.000
Br3 0.238 0.238 0.523
Br4 0.762 0.762 0.477
Br5 0.759 0.759 0.000
Br6 0.241 0.759 0.000
Os1 0.000 0.000 0.000
Cs1 0.250 0.750 0.500
Cs2 0.750 0.250 0.500

---

Compound: Cs2BPdBr
Source: the Alexandria database
Functional: PBE
Structure: optimized geometry

Space group = P4/mmm (123)
Density of states at the Fermi level = 6.113 states/eV per cell
Formation energy (no corrections) = 535 meV/atom

a b c (Å): 6.698 4.870 6.698
angles (deg): 90.00 90.00 90.00
Fractional positions:
B1 0.500 0.500 0.500
Br1 0.000 0.500 0.000
Pd1 0.000 0.000 0.000
Cs1 0.500 0.000 0.000
Cs2 0.000 0.000 0.500

---

Compound: Cs2BPdBr6
Source: the Alexandria database
Functional: PBE
Structure: optimized geometry

Space group = I4/mmm (139)
Density of states at the Fermi level = 3.745 states/eV per cell
Formation energy (no corrections) = -649 meV/atom

a b c (Å): 7.273 7.273 7.906
angles (deg): 62.62 62.62 90.00
Fractional positions:
Br1 0.717 0.283 0.000
Br2 0.283 0.717 0.000
Br3 0.207 0.207 0.586
Br4 0.283 0.283 0.000
Br5 0.717 0.717 0.000
Br6 0.793 0.793 0.414
B1 0.500 0.500 0.000
Pd1 0.000 0.000 0.000
Cs1 0.750 0.250 0.500
Cs2 0.250 0.750 0.500

---

Compound: Cs2BPtBr6
Source: the Alexandria database
Functional: PBE
Structure: optimized geometry

Space group = I4/mmm (139)
Density of states at the Fermi level = 3.124 states/eV per cell
Formation energy (no corrections) = -588 meV/atom

a b c (Å): 7.253 7.253 7.888
angles (deg): 62.63 62.63 90.00
Fractional positions:
Pt1 0.000 0.000 0.000
Br1 0.720 0.280 0.000
Br2 0.720 0.720 0.000
Br3 0.280 0.720 0.000
Br4 0.280 0.280 0.000
Br5 0.206 0.206 0.588
Br6 0.794 0.794 0.412
Cs1 0.750 0.250 0.500
Cs2 0.250 0.750 0.500
B1 0.500 0.500 0.000

---

Compound: CsB2SbBr
Source: the Alexandria database
Functional: PBE
Structure: optimized geometry

Space group = P4/mmm (123)
Density of states at the Fermi level = 1.891 states/eV per cell
Formation energy (no corrections) = 894 meV/atom

a b c (Å): 4.677 9.370 4.677
angles (deg): 90.00 90.00 90.00
Fractional positions:
Sb1 0.000 0.000 0.000
B1 0.500 0.000 0.000
B2 0.000 0.000 0.500
Cs1 0.000 0.500 0.000
Br1 0.500 0.500 0.500

---

Compound: Cs2ScBBr6
Source: the Alexandria database
Functional: PBE
Structure: optimized geometry

Space group = I4/mmm (139)
Density of states at the Fermi level = 0.000 states/eV per cell
Formation energy (no corrections) = -1104 meV/atom

a b c (Å): 7.741 7.741 7.750
angles (deg): 60.04 60.04 90.00
Fractional positions:
Br1 0.244 0.244 0.511
Br2 0.755 0.755 0.000
Br3 0.756 0.756 0.489
Br4 0.755 0.245 0.000
Br5 0.245 0.755 0.000
Br6 0.245 0.245 0.000
Sc1 0.000 0.000 0.000
Cs1 0.750 0.250 0.500
Cs2 0.250 0.750 0.500
B1 0.500 0.500 0.000

---

Compound: CsBSeBr2
Source: the Alexandria database
Functional: PBE
Structure: optimized geometry

Space group = P4/mmm (123)
Density of states at the Fermi level = 3.092 states/eV per cell
Formation energy (no corrections) = -118 meV/atom

a b c (Å): 5.867 5.867 4.104
angles (deg): 90.00 90.00 90.00
Fractional positions:
Cs1 0.500 0.500 0.500
Br1 0.500 0.000 0.000
Br2 0.000 0.500 0.000
B1 0.000 0.000 0.000
Se1 0.000 0.000 0.500

---

Compound: Cs2BSeBr6
Source: the Alexandria database
Functional: PBE
Structure: optimized geometry

Space group = I4/mmm (139)
Density of states at the Fermi level = 2.790 states/eV per cell
Formation energy (no corrections) = -608 meV/atom

a b c (Å): 7.577 7.577 7.995
angles (deg): 61.72 61.72 90.00
Fractional positions:
Br1 0.706 0.706 0.000
Br2 0.219 0.219 0.563
Br3 0.706 0.294 0.000
Br4 0.781 0.781 0.437
Br5 0.294 0.706 0.000
Br6 0.294 0.294 0.000
Se1 0.000 0.000 0.000
Cs1 0.250 0.750 0.500
Cs2 0.750 0.250 0.500
B1 0.500 0.500 0.000

---

Compound: Cs2TcBBr6
Source: the Alexandria database
Functional: PBE
Structure: optimized geometry

Space group = I4/mmm (139)
Density of states at the Fermi level = 1.689 states/eV per cell
Formation energy (no corrections) = -520 meV/atom

a b c (Å): 7.616 7.616 7.629
angles (deg): 60.06 60.06 90.00
Fractional positions:
Br1 0.753 0.753 0.000
Br2 0.247 0.753 0.000
Br3 0.755 0.755 0.490
Br4 0.245 0.245 0.510
Br5 0.247 0.247 0.000
Br6 0.753 0.247 0.000
Tc1 0.000 0.000 0.000
Cs1 0.750 0.250 0.500
Cs2 0.250 0.750 0.500
B1 0.500 0.500 0.000

---

Compound: Cs2TlBBr6
Source: the Alexandria database
Functional: PBE
Structure: optimized geometry

Space group = I4/mmm (139)
Density of states at the Fermi level = 0.000 states/eV per cell
Formation energy (no corrections) = -794 meV/atom

a b c (Å): 7.759 7.759 7.888
angles (deg): 60.54 60.54 90.00
Fractional positions:
Br1 0.290 0.290 0.000
Br2 0.278 0.278 0.444
Br3 0.710 0.710 0.000
Br4 0.722 0.722 0.556
Br5 0.290 0.710 0.000
Br6 0.710 0.290 0.000
Cs1 0.750 0.250 0.500
Cs2 0.250 0.750 0.500
Tl1 0.000 0.000 0.000
B1 0.500 0.500 0.000

---

Compound: CsZnB2Br
Source: the Alexandria database
Functional: PBE
Structure: optimized geometry

Space group = P4/mmm (123)
Density of states at the Fermi level = 4.205 states/eV per cell
Formation energy (no corrections) = 1017 meV/atom

a b c (Å): 4.445 8.933 4.445
angles (deg): 90.00 90.00 90.00
Fractional positions:
Zn1 0.000 0.000 0.000
B1 0.500 0.000 0.000
B2 0.000 0.000 0.500
Br1 0.500 0.500 0.500
Cs1 0.000 0.500 0.000

---

Compound: Cs4Zr6BBr17
Source: the Alexandria database
Functional: PBE
Structure: optimized geometry

Space group = P-42_1m (113)
Formation energy (no corrections) = -1541 meV/atom

a b c (Å): 12.917 12.917 11.941
angles (deg): 90.00 90.00 90.00
Fractional positions:
Br1 0.253 0.459 0.996
Br2 0.749 0.544 0.314
Br3 0.753 0.041 0.004
Br4 0.793 0.293 0.842
Br5 0.044 0.249 0.314
Br6 0.541 0.253 0.004
Br7 0.544 0.251 0.686
Br8 0.500 0.000 0.168
Br9 0.249 0.956 0.686
Br10 0.795 0.295 0.462
Br11 0.293 0.207 0.158
Br12 0.208 0.708 0.157
Br13 0.707 0.793 0.158
Br14 0.207 0.707 0.842
Br15 0.205 0.705 0.462
Br16 0.959 0.753 0.996
Br17 0.041 0.247 0.996
Br18 0.295 0.205 0.538
Br19 0.792 0.292 0.157
Br20 0.247 0.959 0.004
Br21 0.500 0.000 0.521
Br22 0.000 0.500 0.479
Br23 0.747 0.541 0.996
Br24 0.000 0.000 0.500
Br25 0.292 0.208 0.843
Br26 0.708 0.792 0.843
Br27 0.251 0.456 0.314
Br28 0.500 0.500 0.500
Br29 0.000 0.500 0.832
Br30 0.459 0.747 0.004
Br31 0.705 0.795 0.538
Br32 0.456 0.749 0.686
Br33 0.956 0.751 0.314
Br34 0.751 0.044 0.686
Zr1 0.629 0.129 0.847
Zr2 0.408 0.092 0.705
Zr3 0.908 0.408 0.295
Zr4 0.592 0.908 0.983
Zr5 0.871 0.629 0.153
Zr6 0.092 0.592 0.295
Zr7 0.092 0.592 0.017
Zr8 0.371 0.871 0.847
Zr9 0.129 0.371 0.153
Zr10 0.908 0.408 0.017
Zr11 0.408 0.092 0.983
Zr12 0.592 0.908 0.705
Cs1 0.487 0.722 0.346
Cs2 0.222 0.987 0.346
Cs3 0.722 0.513 0.654
Cs4 0.778 0.013 0.346
Cs5 0.278 0.487 0.654
Cs6 0.987 0.778 0.654
Cs7 0.513 0.278 0.346
Cs8 0.013 0.222 0.654
B1 0.500 0.000 0.845
B2 0.000 0.500 0.155

---

Compound: CuBBr4
Source: the Alexandria database
Functional: PBE
Structure: optimized geometry

E above lowest polymorph = 0.455 eV/atom
Space group = P4_2/mmc (131)
Density of states at the Fermi level = 0.704 states/eV per cell
Formation energy (no corrections) = 97 meV/atom

a b c (Å): 6.988 6.988 8.807
angles (deg): 90.00 90.00 90.00
Fractional positions:
Br1 0.779 0.718 0.000
Br2 0.282 0.779 0.500
Br3 0.221 0.718 0.000
Br4 0.779 0.282 0.000
Br5 0.221 0.282 0.000
Br6 0.282 0.221 0.500
Br7 0.718 0.221 0.500
Br8 0.718 0.779 0.500
Cu1 0.000 0.000 0.000
Cu2 0.000 0.000 0.500
B1 0.500 0.000 0.500
B2 0.000 0.500 0.000

---

Compound: CuBBr
Source: the Alexandria database
Functional: PBE
Structure: optimized geometry

Space group = C2/m (12)
Density of states at the Fermi level = 1.241 states/eV per cell
Formation energy (no corrections) = 160 meV/atom

a b c (Å): 3.290 6.113 10.200
angles (deg): 88.89 90.00 90.00
Fractional positions:
Cu1 0.000 0.172 0.846
Cu2 0.500 0.328 0.154
Cu3 0.000 0.828 0.154
Cu4 0.500 0.672 0.846
Br1 0.500 0.655 0.305
Br2 0.500 0.345 0.695
Br3 0.000 0.845 0.695
Br4 0.000 0.155 0.305
B1 0.000 0.643 0.992
B2 0.500 0.143 0.992
B3 0.500 0.857 0.008
B4 0.000 0.357 0.008

---

Compound: CuB3Br
Source: the Alexandria database
Functional: PBE
Structure: optimized geometry

E above lowest polymorph = 0.000 eV/atom
Space group = Pm-3m (221)
Density of states at the Fermi level = 1.886 states/eV per cell
Formation energy (no corrections) = 1627 meV/atom

a b c (Å): 4.082 4.082 4.082
angles (deg): 90.00 90.00 90.00
Fractional positions:
B1 0.500 0.000 0.000
B2 0.000 0.500 0.000
B3 0.000 0.000 0.500
Br1 0.500 0.500 0.500
Cu1 0.000 0.000 0.000

---

Compound: CuBBr4
Source: the Alexandria database
Functional: PBE
Structure: optimized geometry

E above lowest polymorph = 0.000 eV/atom
Space group = P222 (16)
Density of states at the Fermi level = 0.000 states/eV per cell
Formation energy (no corrections) = -358 meV/atom

a b c (Å): 6.160 6.166 11.525
angles (deg): 90.00 90.00 90.00
Fractional positions:
Br1 0.803 0.188 0.399
Br2 0.197 0.188 0.601
Br3 0.188 0.697 0.899
Br4 0.803 0.812 0.601
Br5 0.812 0.697 0.101
Br6 0.197 0.812 0.399
Br7 0.188 0.303 0.101
Br8 0.812 0.303 0.899
B1 0.000 0.500 0.000
B2 0.000 0.000 0.500
Cu1 0.000 0.000 0.000
Cu2 0.500 0.000 0.500

---

Compound: Cu2BBr
Source: the Alexandria database
Functional: PBE
Structure: optimized geometry

E above lowest polymorph = 0.666 eV/atom
Space group = Fm-3m (225)
Density of states at the Fermi level = 1.842 states/eV per cell
Formation energy (no corrections) = 1221 meV/atom

a b c (Å): 4.351 4.351 4.351
angles (deg): 60.00 60.00 60.00
Fractional positions:
B1 0.000 0.000 0.000
Cu1 0.750 0.750 0.750
Cu2 0.250 0.250 0.250
Br1 0.500 0.500 0.500

---

Compound: Cu2BBr
Source: the Alexandria database
Functional: PBE
Structure: optimized geometry

E above lowest polymorph = 0.000 eV/atom
Space group = I-42d (122)
Density of states at the Fermi level = 0.616 states/eV per cell
Formation energy (no corrections) = 555 meV/atom

a b c (Å): 5.756 5.756 5.708
angles (deg): 59.72 59.72 90.00
Fractional positions:
Br1 0.750 0.250 0.500
Br2 0.000 0.000 0.000
Cu1 0.875 0.796 0.750
Cu2 0.375 0.454 0.750
Cu3 0.546 0.125 0.250
Cu4 0.204 0.625 0.250
B1 0.250 0.750 0.500
B2 0.500 0.500 0.000

---

Compound: CuB3Br
Source: the Alexandria database
Functional: PBE
Structure: optimized geometry

E above lowest polymorph = 1.040 eV/atom
Space group = Pm-3m (221)
Density of states at the Fermi level = 2.572 states/eV per cell
Formation energy (no corrections) = 2667 meV/atom

a b c (Å): 4.111 4.111 4.111
angles (deg): 90.00 90.00 90.00
Fractional positions:
B1 0.000 0.000 0.500
B2 0.000 0.500 0.000
B3 0.500 0.000 0.000
Cu1 0.500 0.500 0.500
Br1 0.000 0.000 0.000